! Tl2MoF8 GGA+U optimized geometry; values from VASP
&SYSTEM
  ibrav = 0, nat = 11, ntyp = 3
/
ATOMIC_SPECIES
Tl 204.38 Tl.upf
Mo 95.94 Mo.upf
F 19.00 F.upf
CELL_PARAMETERS angstrom
6.290 -2.525 0.000
6.290 2.525 0.000
-2.427 0.000 6.800
ATOMIC_POSITIONS angstrom
Tl 2.097 0.000 0.935
Tl 8.057 0.000 5.865
Mo -1.213 0.000 3.400
F -1.674 0.000 5.318
F 3.698 1.248 3.094
F 1.612 0.000 6.210
F 6.456 1.248 3.706
F 3.698 -1.248 3.094
F 8.542 0.000 0.590
F 6.456 -1.248 3.706
F 11.828 0.000 1.482
! - symmetry = C2/m
! - magnetization (μB/cell) = 0.95
! - calculated density (g/cm3) = 5.048
! - crystal system = monoclinic
! - raw total energy (eV/cell) = -49.7